1.
PrZn3Ir3: relaxed, GGA-PBE.

Output
theoretical density: 9.9 Mg/m³
raw total energy: -4.586 eV per atom
volume: 21.92 Å³ per atom
size of the total moment: 0.00 μB per formula unit
ΔH_f (0 K): 0.4403 eV/atom
symmetry: Pm-3n

Lattice parameters (Å, degrees): 6.745 6.745 6.745 90.00 90.00 90.00
Fractional positions:
Ir 0.500 0.750 0.000
Ir 0.750 0.000 0.500
Ir 0.000 0.500 0.750
Ir 0.000 0.500 0.250
Ir 0.500 0.250 0.000
Ir 0.250 0.000 0.500
Zn 0.500 0.000 0.750
Zn 0.250 0.500 0.000
Zn 0.000 0.250 0.500
Zn 0.750 0.500 0.000
Zn 0.500 0.000 0.250
Zn 0.000 0.750 0.500
Pr 0.500 0.500 0.500
Pr 0.000 0.000 0.000

=====

2.
Pr3Zn4Ir4: relaxed, GGA-PBE.

Output
theoretical density: 10.6 Mg/m³
raw total energy: -5.260 eV per atom
volume: 20.70 Å³ per atom
size of the total moment: 0.00 μB per formula unit
ΔH_f (0 K): -0.2710 eV/atom
symmetry: I-43m

Lattice parameters (Å, degrees): 6.663 6.663 6.663 109.47 109.47 109.47
Fractional positions:
Pr 0.500 0.500 0.000
Pr 0.000 0.500 0.500
Pr 0.500 0.000 0.500
Ir 0.396 0.396 0.396
Ir 0.000 0.604 0.000
Ir 0.000 0.000 0.604
Ir 0.604 0.000 0.000
Zn 0.000 0.242 0.000
Zn 0.242 0.000 0.000
Zn 0.758 0.758 0.758
Zn 0.000 0.000 0.242

=====

3.
PrZnIr4: relaxed, GGA-PBE.

Output
theoretical density: 15.1 Mg/m³
raw total energy: -7.163 eV per atom
volume: 17.86 Å³ per atom
size of the total moment: 0.00 μB per formula unit
ΔH_f (0 K): -0.2466 eV/atom
symmetry: F-43m

Lattice parameters (Å, degrees): 5.331 5.331 5.331 60.00 60.00 60.00
Fractional positions:
Zn 0.000 0.000 0.000
Ir 0.123 0.626 0.626
Ir 0.626 0.626 0.123
Ir 0.626 0.626 0.626
Ir 0.626 0.123 0.626
Pr 0.250 0.250 0.250

=====

4.
Pr2Zn3Ir2: relaxed, GGA-PBE.

Output
theoretical density: 10.1 Mg/m³
raw total energy: -4.954 eV per atom
volume: 20.34 Å³ per atom
size of the total moment: 0.00 μB per formula unit
ΔH_f (0 K): -0.5109 eV/atom
symmetry: C2/m

Lattice parameters (Å, degrees): 4.187 5.528 7.267 112.00 90.00 112.25
Fractional positions:
Zn 0.355 0.709 0.560
Zn 0.500 0.000 0.000
Zn 0.645 0.291 0.440
Ir 0.137 0.273 0.194
Ir 0.863 0.727 0.806
Pr 0.144 0.287 0.768
Pr 0.856 0.713 0.232

=====

5.
PrZn2Ir: relaxed, GGA-PBE.

Output
theoretical density: 9.5 Mg/m³
raw total energy: -4.395 eV per atom
volume: 20.38 Å³ per atom
size of the total moment: 0.00 μB per formula unit
ΔH_f (0 K): -0.3477 eV/atom
symmetry: R-3m

Lattice parameters (Å, degrees): 4.317 4.317 5.632 67.47 67.47 60.00
Fractional positions:
Zn 0.208 0.208 0.377
Zn 0.792 0.792 0.623
Ir 0.500 0.500 0.500
Pr 0.000 0.000 0.000

=====

6.
PrZn9Ir2: relaxed, GGA-PBE.

Output
theoretical density: 9.5 Mg/m³
raw total energy: -3.120 eV per atom
offset from the most stable computed form: 0 meV/atom
volume: 16.31 Å³ per atom
size of the total moment: 0.00 μB per formula unit
ΔH_f (0 K): -0.2893 eV/atom
symmetry: I4_1/amd

Lattice parameters (Å, degrees): 6.982 8.261 8.261 79.71 65.00 65.00
Fractional positions:
Zn 0.679 0.585 0.171
Zn 0.015 0.671 0.915
Zn 0.750 0.500 0.500
Zn 0.015 0.915 0.671
Zn 0.600 0.329 0.085
Zn 0.150 0.171 0.415
Zn 0.679 0.171 0.585
Zn 0.000 0.000 0.000
Zn 0.314 0.085 0.671
Zn 0.735 0.829 0.585
Zn 0.071 0.329 0.915
Zn 0.150 0.415 0.171
Zn 0.436 0.829 0.415
Zn 0.436 0.415 0.829
Zn 0.735 0.585 0.829
Zn 0.071 0.915 0.329
Zn 0.600 0.085 0.329
Zn 0.314 0.671 0.085
Ir 0.875 0.250 0.250
Ir 0.875 0.250 0.750
Ir 0.375 0.750 0.750
Ir 0.875 0.750 0.250
Pr 0.250 0.500 0.500
Pr 0.500 0.000 0.000

=====

7.
PrZn3Ir: relaxed, GGA-PBE.

Output
theoretical density: 8.0 Mg/m³
raw total energy: -3.701 eV per atom
offset from the most stable computed form: 158 meV/atom
volume: 21.87 Å³ per atom
size of the total moment: 0.00 μB per formula unit
ΔH_f (0 K): -0.2089 eV/atom
symmetry: Pm-3m

Lattice parameters (Å, degrees): 4.782 4.782 4.782 90.00 90.00 90.00
Fractional positions:
Zn 0.000 0.000 0.500
Zn 0.500 0.000 0.000
Zn 0.000 0.500 0.000
Pr 0.500 0.500 0.500
Ir 0.000 0.000 0.000

=====

8.
PrZn12Ir6: relaxed, GGA-PBE.

Output
theoretical density: 10.8 Mg/m³
raw total energy: -3.916 eV per atom
volume: 16.82 Å³ per atom
size of the total moment: 0.00 μB per formula unit
ΔH_f (0 K): -0.0614 eV/atom
symmetry: R-3m

Lattice parameters (Å, degrees): 7.100 7.100 7.100 103.98 103.98 103.98
Fractional positions:
Ir 0.697 0.276 0.276
Ir 0.276 0.697 0.276
Ir 0.276 0.276 0.697
Ir 0.724 0.303 0.724
Ir 0.724 0.724 0.303
Ir 0.303 0.724 0.724
Zn 0.602 0.602 0.871
Zn 0.602 0.871 0.602
Zn 0.398 0.129 0.398
Zn 0.129 0.398 0.398
Zn 0.500 0.111 0.889
Zn 0.111 0.889 0.500
Zn 0.871 0.602 0.602
Zn 0.398 0.398 0.129
Zn 0.889 0.111 0.500
Zn 0.500 0.889 0.111
Zn 0.111 0.500 0.889
Zn 0.889 0.500 0.111
Pr 0.000 0.000 0.000

=====

9.
Pr4Zn3Ir: relaxed, GGA-PBE.

Output
theoretical density: 7.7 Mg/m³
raw total energy: -4.351 eV per atom
volume: 25.77 Å³ per atom
size of the total moment: 0.00 μB per formula unit
ΔH_f (0 K): -0.3761 eV/atom
symmetry: Pmm2

Lattice parameters (Å, degrees): 3.999 4.600 11.208 90.00 90.00 90.00
Fractional positions:
Pr 0.500 0.500 0.341
Pr 0.000 0.000 0.140
Pr 0.500 0.000 0.649
Pr 0.000 0.500 0.873
Ir 0.500 0.500 0.070
Zn 0.500 0.000 0.932
Zn 0.000 0.500 0.566
Zn 0.000 0.000 0.429

=====

10.
Pr4ZnIr3: relaxed, GGA-PBE.

Output
theoretical density: 10.2 Mg/m³
raw total energy: -6.418 eV per atom
volume: 24.52 Å³ per atom
size of the total moment: 0.00 μB per formula unit
ΔH_f (0 K): -0.5466 eV/atom
symmetry: Pmm2

Lattice parameters (Å, degrees): 4.063 4.400 10.973 90.00 90.00 90.00
Fractional positions:
Ir 0.500 0.000 0.934
Ir 0.000 0.500 0.582
Ir 0.000 0.000 0.416
Pr 0.500 0.000 0.641
Pr 0.500 0.500 0.368
Pr 0.000 0.500 0.850
Pr 0.000 0.000 0.143
Zn 0.500 0.500 0.066

=====

11.
Pr2Zn5Ir: relaxed, GGA-PBE.

Output
theoretical density: 8.3 Mg/m³
raw total energy: -3.465 eV per atom
volume: 20.10 Å³ per atom
size of the total moment: 0.00 μB per formula unit
ΔH_f (0 K): -0.3661 eV/atom
symmetry: Cmcm

Lattice parameters (Å, degrees): 4.246 8.568 9.124 90.00 90.00 104.35
Fractional positions:
Zn 0.808 0.616 0.389
Zn 0.192 0.384 0.611
Zn 0.352 0.704 0.518
Zn 0.400 0.800 0.250
Zn 0.600 0.200 0.750
Zn 0.808 0.616 0.111
Zn 0.352 0.704 0.982
Zn 0.648 0.296 0.482
Zn 0.192 0.384 0.889
Zn 0.648 0.296 0.018
Pr 0.186 0.373 0.250
Pr 0.000 0.000 0.000
Pr 0.814 0.627 0.750
Pr 0.000 0.000 0.500
Ir 0.445 0.890 0.750
Ir 0.555 0.110 0.250

=====

12.
Pr2ZnIr: relaxed, GGA-PBE.

Output
theoretical density: 8.9 Mg/m³
raw total energy: -5.441 eV per atom
offset from the most stable computed form: 0 meV/atom
volume: 25.06 Å³ per atom
size of the total moment: 0.00 μB per formula unit
ΔH_f (0 K): -0.5178 eV/atom
symmetry: P2_1/m

Lattice parameters (Å, degrees): 4.489 5.966 8.061 111.77 90.00 90.00
Fractional positions:
Pr 0.750 0.233 0.420
Pr 0.250 0.767 0.580
Pr 0.750 0.213 0.937
Pr 0.250 0.787 0.063
Zn 0.250 0.349 0.714
Zn 0.750 0.651 0.286
Ir 0.250 0.361 0.215
Ir 0.750 0.639 0.785

=====

13.
PrZn2Ir2: relaxed, GGA-PBE.

Output
theoretical density: 11.7 Mg/m³
raw total energy: -5.415 eV per atom
volume: 18.69 Å³ per atom
size of the total moment: 0.00 μB per formula unit
ΔH_f (0 K): -0.4054 eV/atom
symmetry: I4/mmm

Lattice parameters (Å, degrees): 4.095 4.095 11.520 100.24 100.24 90.00
Fractional positions:
Ir 0.932 0.932 0.863
Ir 0.250 0.750 0.500
Ir 0.750 0.250 0.500
Ir 0.068 0.068 0.137
Zn 0.500 0.000 0.000
Zn 0.181 0.181 0.362
Zn 0.819 0.819 0.638
Zn 0.000 0.500 0.000
Pr 0.630 0.630 0.260
Pr 0.370 0.370 0.740

=====

14.
PrZn11Ir: relaxed, GGA-PBE.

Output
theoretical density: 8.3 Mg/m³
raw total energy: -2.357 eV per atom
volume: 16.20 Å³ per atom
size of the total moment: 0.00 μB per formula unit
ΔH_f (0 K): -0.2293 eV/atom
symmetry: C2/m

Lattice parameters (Å, degrees): 5.136 6.889 6.923 81.94 68.23 67.79
Fractional positions:
Zn 0.022 0.642 0.350
Zn 0.279 0.221 0.222
Zn 0.978 0.358 0.650
Zn 0.498 0.779 0.222
Zn 0.502 0.221 0.778
Zn 0.628 0.358 0.350
Zn 0.500 0.000 0.500
Zn 0.000 0.000 0.500
Zn 0.000 0.500 0.000
Zn 0.721 0.779 0.778
Zn 0.372 0.642 0.650
Ir 0.500 0.500 0.000
Pr 0.000 0.000 0.000

=====

15.
Pr2Zn2Ir: relaxed, GGA-PBE.

Output
theoretical density: 8.3 Mg/m³
raw total energy: -4.662 eV per atom
volume: 24.12 Å³ per atom
size of the total moment: 0.00 μB per formula unit
ΔH_f (0 K): -0.4686 eV/atom
symmetry: C2/m

Lattice parameters (Å, degrees): 4.053 6.024 10.688 87.48 79.07 70.34
Fractional positions:
Ir 0.422 0.848 0.308
Ir 0.578 0.152 0.692
Pr 0.090 0.703 0.118
Pr 0.711 0.216 0.362
Pr 0.289 0.784 0.638
Pr 0.910 0.297 0.882
Zn 0.035 0.345 0.586
Zn 0.965 0.655 0.414
Zn 0.624 0.866 0.885
Zn 0.376 0.134 0.115

=====

16.
Pr7Zn2Ir2: relaxed, GGA-PBE.

Output
theoretical density: 7.4 Mg/m³
raw total energy: -5.158 eV per atom
volume: 30.51 Å³ per atom
size of the total moment: 0.00 μB per formula unit
ΔH_f (0 K): -0.2738 eV/atom
symmetry: Cmmm

Lattice parameters (Å, degrees): 6.951 7.310 6.951 89.99 108.14 90.01
Fractional positions:
Pr 0.500 0.746 0.500
Pr 0.500 0.739 0.000
Pr 0.500 0.254 0.500
Pr 0.000 0.261 0.500
Pr 0.000 0.000 0.000
Pr 0.500 0.261 0.000
Pr 0.000 0.739 0.500
Ir 0.292 0.000 0.708
Ir 0.708 0.000 0.292
Zn 0.838 0.500 0.838
Zn 0.162 0.500 0.162

=====

17.
PrZn2Ir: relaxed, GGA-PBE.

Output
theoretical density: 9.7 Mg/m³
raw total energy: -4.508 eV per atom
volume: 19.83 Å³ per atom
size of the total moment: 0.00 μB per formula unit
ΔH_f (0 K): -0.4607 eV/atom
symmetry: Pnma

Lattice parameters (Å, degrees): 5.584 7.313 15.543 90.00 90.00 90.00
Fractional positions:
Ir 0.009 0.750 0.929
Ir 0.509 0.250 0.571
Ir 0.991 0.250 0.071
Ir 0.698 0.750 0.189
Ir 0.302 0.250 0.811
Ir 0.802 0.750 0.689
Ir 0.491 0.750 0.429
Ir 0.198 0.250 0.311
Pr 0.265 0.750 0.599
Pr 0.961 0.750 0.359
Pr 0.461 0.250 0.141
Pr 0.539 0.750 0.859
Pr 0.235 0.750 0.099
Pr 0.735 0.250 0.401
Pr 0.039 0.250 0.641
Pr 0.765 0.250 0.901
Zn 0.248 0.062 0.957
Zn 0.938 0.449 0.209
Zn 0.562 0.449 0.709
Zn 0.748 0.938 0.543
Zn 0.252 0.438 0.457
Zn 0.062 0.949 0.791
Zn 0.752 0.562 0.043
Zn 0.752 0.938 0.043
Zn 0.062 0.551 0.791
Zn 0.252 0.062 0.457
Zn 0.248 0.438 0.957
Zn 0.438 0.551 0.291
Zn 0.938 0.051 0.209
Zn 0.748 0.562 0.543
Zn 0.438 0.949 0.291
Zn 0.562 0.051 0.709

=====

18.
PrZn3Ir2: relaxed, GGA-PBE.

Output
theoretical density: 9.3 Mg/m³
raw total energy: -4.414 eV per atom
volume: 21.42 Å³ per atom
size of the total moment: 0.00 μB per formula unit
ΔH_f (0 K): -0.0263 eV/atom
symmetry: I4/mmm

Lattice parameters (Å, degrees): 4.955 4.955 6.299 113.16 113.16 90.00
Fractional positions:
Ir 0.271 0.271 0.542
Ir 0.729 0.729 0.458
Zn 0.500 0.500 0.000
Zn 0.750 0.250 0.500
Zn 0.250 0.750 0.500
Pr 0.000 0.000 0.000

=====

19.
Pr3Zn8Ir: relaxed, GGA-PBE.

Output
theoretical density: 8.1 Mg/m³
raw total energy: -3.033 eV per atom
volume: 19.49 Å³ per atom
size of the total moment: 0.00 μB per formula unit
ΔH_f (0 K): -0.2499 eV/atom
symmetry: R3m

Lattice parameters (Å, degrees): 5.290 5.290 10.120 74.85 74.85 60.00
Fractional positions:
Ir 0.891 0.891 0.326
Zn 0.934 0.431 0.204
Zn 0.938 0.442 0.681
Zn 0.442 0.938 0.681
Zn 0.189 0.189 0.434
Zn 0.938 0.938 0.681
Zn 0.431 0.431 0.204
Zn 0.431 0.934 0.204
Zn 0.683 0.683 0.952
Pr 0.506 0.506 0.483
Pr 0.989 0.989 0.033
Pr 0.378 0.378 0.867

=====

20.
Pr6Zn2Ir: relaxed, GGA-PBE.

Output
theoretical density: 7.3 Mg/m³
raw total energy: -4.690 eV per atom
volume: 29.54 Å³ per atom
size of the total moment: 0.00 μB per formula unit
ΔH_f (0 K): -0.2357 eV/atom
symmetry: P2_1/c

Lattice parameters (Å, degrees): 6.328 9.528 8.920 90.00 81.34 90.00
Fractional positions:
Zn 0.836 0.407 0.774
Zn 0.336 0.093 0.274
Zn 0.164 0.593 0.226
Zn 0.664 0.907 0.726
Pr 0.109 0.027 0.789
Pr 0.089 0.330 0.047
Pr 0.082 0.312 0.481
Pr 0.911 0.670 0.953
Pr 0.411 0.830 0.453
Pr 0.918 0.688 0.519
Pr 0.589 0.170 0.547
Pr 0.418 0.812 0.019
Pr 0.609 0.473 0.289
Pr 0.891 0.973 0.211
Pr 0.391 0.527 0.711
Pr 0.582 0.188 0.981
Ir 0.000 0.000 0.500
Ir 0.500 0.500 0.000